A geometry-optimized Ti3Co2TeP6O24 structure, computed with PBE+U.

Cell and atoms, written as POSCAR:
```
Ti3Co2TeP6O24
1.0
-7.354 -1.604 4.233
-5.579 -5.676 -3.352
-0.986 -7.653 3.877
P O Co Ti Te
6 24 2 3 1
direct
0.533 0.256 0.960 P
0.452 0.744 0.047 P
0.744 0.047 0.452 P
0.047 0.452 0.744 P
0.256 0.960 0.533 P
0.960 0.533 0.256 P
0.331 0.115 0.479 O
0.998 0.382 0.185 O
0.265 0.910 0.056 O
0.056 0.265 0.910 O
0.412 0.766 0.556 O
0.687 0.880 0.506 O
0.028 0.606 0.803 O
0.556 0.412 0.766 O
0.185 0.998 0.382 O
0.239 0.427 0.587 O
0.115 0.479 0.331 O
0.427 0.587 0.239 O
0.766 0.556 0.412 O
0.587 0.239 0.427 O
0.506 0.687 0.880 O
0.479 0.331 0.115 O
0.910 0.056 0.265 O
0.728 0.099 0.959 O
0.803 0.028 0.606 O
0.606 0.803 0.028 O
0.880 0.506 0.687 O
0.382 0.185 0.998 O
0.959 0.728 0.099 O
0.099 0.959 0.728 O
0.504 0.504 0.504 Co
0.009 0.009 0.009 Co
0.640 0.640 0.640 Ti
0.356 0.356 0.356 Ti
0.139 0.139 0.139 Ti
0.858 0.858 0.858 Te
```

Its space group is R3. As for the spin magnetization: 4.00 μB/cell. Its total energy is -7.399 eV/atom.